Record 1
Sr2Cu2P, relaxed, DFT PBE-GGA; energy = -17.99 eV per formula unit; ΔE to the lowest computed polymorph = 86.3 meV/atom; energy relative to the elements = -0.205 eV/atom; total magnetization = 0.0 μB per formula unit
1.0
-2.904 5.185 -0.314
-0.928 -0.164 5.876
1.039 4.197 3.295
Sr Cu P
2 2 1
Cartesian
-1.891 5.946 2.881
-0.903 3.272 5.976
-0.923 3.077 2.954
-1.871 6.140 5.903
0.000 0.000 0.000

Record 2
Ag3HOs, relaxed, DFT PBE-GGA; energy = -13.62 eV per formula unit; ΔE to the lowest computed polymorph = 1007.7 meV/atom; total magnetization = 2.9 μB per formula unit
1.0
5.177 0.000 0.000
0.000 5.177 0.000
0.000 0.000 5.177
H Os Ag
1 1 3
Cartesian
2.589 2.589 2.589
0.000 0.000 0.000
0.000 2.589 0.000
0.000 0.000 2.589
2.589 0.000 0.000

Record 3
Na2HN, relaxed, DFT PBE-GGA; energy = -14.38 eV per formula unit; total magnetization = 0.0 μB per formula unit
1.0
-1.169 -1.144 -3.258
-2.182 -6.581 3.093
-2.330 2.335 3.324
Na H N
4 2 2
Cartesian
-1.243 -0.603 0.829
-2.725 -5.073 2.930
-3.499 -2.726 4.037
-2.799 -0.615 3.045
-2.314 1.608 1.790
-2.239 -2.850 1.674
-2.647 0.481 -0.845
-2.573 -3.977 -0.960

Record 4
ZrPRh3, relaxed, DFT PBE-GGA; energy = -30.00 eV per formula unit; ΔE to the lowest computed polymorph = 1554.0 meV/atom; energy relative to the elements = 1.203 eV/atom; total magnetization = 0.0 μB per formula unit
1.0
-0.484 0.943 4.661
3.967 -2.504 0.919
2.623 3.961 -0.529
P Rh Zr
1 3 1
Cartesian
3.053 1.200 2.525
1.983 -1.252 0.459
1.312 1.980 -0.265
-0.242 0.472 2.331
0.000 0.000 0.000